1.
# AlIr2Br

AlIr2Br after structural relaxation (PBE, Alexandria).

Uncorrected energy   -5.34 eV per atom
Energy relative to the lowest polymorph listed for this composition   392 meV/atom

Unit cell a=4.424 b=3.062 c=4.863 alpha=88.87 beta=90.00 gamma=90.00
Element x y z (fractional)
Ir  0.000  0.011  0.019
Ir  0.000  0.489  0.481
Al  0.500  0.250  0.250
Br  0.500  0.750  0.750


2.
# AlIrBr2

AlIrBr2 after structural relaxation (PBE, Alexandria).

Uncorrected energy   -3.42 eV per atom
Energy relative to the lowest polymorph listed for this composition   859 meV/atom

Unit cell a=3.157 b=5.704 c=4.389 alpha=90.00 beta=90.00 gamma=90.00
Element x y z (fractional)
Ir  0.500  0.000  0.500
Al  0.000  0.500  0.500
Br  0.000  0.000  0.000
Br  0.500  0.500  0.000


3.
# AlIrBr2

AlIrBr2 after structural relaxation (PBE, Alexandria).

Uncorrected energy   -3.48 eV per atom
Energy relative to the lowest polymorph listed for this composition   799 meV/atom

Unit cell a=9.765 b=9.765 c=9.765 alpha=18.61 beta=18.61 gamma=18.61
Element x y z (fractional)
Ir  0.000  0.000  0.000
Al  0.500  0.500  0.500
Br  0.917  0.917  0.917
Br  0.083  0.083  0.083


4.
# AlIr2Br

AlIr2Br after structural relaxation (PBE, Alexandria).

Uncorrected energy   -5.62 eV per atom
Energy relative to the lowest polymorph listed for this composition   121 meV/atom

Unit cell a=2.769 b=2.769 c=10.944 alpha=90.00 beta=90.00 gamma=116.89
Element x y z (fractional)
Ir  0.000  0.000  0.071
Ir  0.000  0.000  0.429
Al  0.500  0.500  0.250
Br  0.500  0.500  0.750


| no. | M_tot (μB per atom) | uncorrected formation energy (eV per atom) | volume (A^3/atom) |
| --- | --- | --- | --- |
| 1 | 0.000 | 0.440 | 16.466 |
| 2 | 0.000 | 0.566 | 19.760 |
| 3 | 0.000 | 0.506 | 20.709 |
| 4 | 0.000 | 0.169 | 18.713 |